# 1
ErHgPbAu: relaxed, GGA-PBE.

Cell: 5.1391 5.1391 5.1391 Å, 60.00 60.00 60.00°
Positions (direct):
Er  0.0000  0.0000  0.0000
Hg  0.2500  0.2500  0.2500
Pb  0.5000  0.5000  0.5000
Au  0.7500  0.7500  0.7500

Properties
SG ... F-43m, No. 216
Electronic total energy ... -3.355 eV/atom


# 2
Er4HgPd2Au: relaxed, GGA-PBE.

Cell: 8.7196 8.7196 8.7196 Å, 33.45 33.45 33.45°
Positions (direct):
Er  0.1224  0.1224  0.1224
Er  0.3728  0.3728  0.3728
Er  0.6272  0.6272  0.6272
Er  0.8776  0.8776  0.8776
Hg  0.5000  0.5000  0.5000
Pd  0.2472  0.2472  0.2472
Pd  0.7528  0.7528  0.7528
Au  0.0000  0.0000  0.0000

Properties
SG ... R-3m, No. 166
Electronic total energy ... -4.814 eV/atom


# 3
Er4HgPdAu2: relaxed, GGA-PBE.

Cell: 8.7439 8.7439 8.7439 Å, 33.64 33.64 33.64°
Positions (direct):
Er  0.1204  0.1204  0.1204
Er  0.3712  0.3712  0.3712
Er  0.6288  0.6288  0.6288
Er  0.8796  0.8796  0.8796
Hg  0.5000  0.5000  0.5000
Pd  0.0000  0.0000  0.0000
Au  0.2468  0.2468  0.2468
Au  0.7532  0.7532  0.7532

Properties
SG ... R-3m, No. 166
Electronic total energy ... -4.579 eV/atom


# 4
ErPuHgAu: relaxed, GGA-PBE.

Cell: 5.1948 5.1948 5.1948 Å, 60.00 60.00 60.00°
Positions (direct):
Er  0.0000  0.0000  0.0000
Pu  0.5000  0.5000  0.5000
Hg  0.7500  0.7500  0.7500
Au  0.2500  0.2500  0.2500

Properties
SG ... F-43m, No. 216
Electronic total energy ... -6.036 eV/atom